(1)
# Ba3NCl2 (PBE-GGA, relaxed)
# - crystal system = orthorhombic
# - energy relative to the lowest polymorph listed for this composition (eV/atom) = 0.000
data_Ba3NCl2
_chemical_formula_sum 'Ba12 N4 Cl8'
_space_group_name_H-M_alt 'C m c 21'
_space_group_IT_number 36
_space_group_name_Hall 'C 2c -2'
_cell_length_a 15.8785
_cell_length_b 8.7621
_cell_length_c 6.4468
_cell_angle_alpha 90.00
_cell_angle_beta 90.00
_cell_angle_gamma 90.00
loop_
_atom_site_label
_atom_site_fract_x
_atom_site_fract_y
_atom_site_fract_z
Ba1 0.0000 0.1355 0.0000
Ba2 0.1257 0.3233 0.4731
N1 0.0000 0.1544 0.4136
Cl1 0.1808 0.3066 0.9716



(2)
# Ba3NCl (PBE-GGA, relaxed)
# - crystal system = cubic
# - energy relative to the lowest polymorph listed for this composition (eV/atom) = 0.000
data_Ba3NCl
_chemical_formula_sum 'Ba3 N1 Cl1'
_space_group_name_H-M_alt 'P m -3 m'
_space_group_IT_number 221
_space_group_name_Hall '-P 4 2 3'
_cell_length_a 5.6433
_cell_length_b 5.6433
_cell_length_c 5.6433
_cell_angle_alpha 90.00
_cell_angle_beta 90.00
_cell_angle_gamma 90.00
loop_
_atom_site_label
_atom_site_fract_x
_atom_site_fract_y
_atom_site_fract_z
Ba1 0.0000 0.0000 0.5000
N1 0.0000 0.0000 0.0000
Cl1 0.5000 0.5000 0.5000



Calculated volume: 37.37 35.95 (A^3/atom)
E: -4.42 -3.80 (eV per atom)
Raw formation energy: -1.451 -0.615 (eV/atom)